Record 1
# V2CrPtC, optimized geometry, DFT PBE
# Volume: 12.20 A^3/atom
# DOS(E_F): 0.685 states/eV per atom
# Formation energy: -0.351 eV per atom
# Crystal system: tetragonal
data_V2CrPtC
_chemical_formula_sum 'V2 Cr1 Pt1 C1'
_cell_length_a 3.9698
_cell_length_b 3.9698
_cell_length_c 3.8723
_cell_angle_alpha 90.00
_cell_angle_beta 90.00
_cell_angle_gamma 90.00
_space_group_name_H-M_alt 'P 4/m m m'
_space_group_IT_number 123
_space_group_name_Hall '-P 4 2'
loop_
_atom_site_label
_atom_site_type_symbol
_atom_site_fract_x
_atom_site_fract_y
_atom_site_fract_z
V1 V 0.0000 0.5000 0.0000
Cr1 Cr 0.0000 0.0000 0.5000
Pt1 Pt 0.5000 0.5000 0.5000
C1 C 0.0000 0.0000 0.0000


Record 2
# Y2CrPtC, optimized geometry, DFT PBE
# Volume: 18.68 A^3/atom
# DOS(E_F): 0.595 states/eV per atom
# Formation energy: -0.510 eV per atom
# Crystal system: tetragonal
data_Y2CrPtC
_chemical_formula_sum 'Y2 Cr1 Pt1 C1'
_cell_length_a 4.9410
_cell_length_b 4.9410
_cell_length_c 3.8256
_cell_angle_alpha 90.00
_cell_angle_beta 90.00
_cell_angle_gamma 90.00
_space_group_name_H-M_alt 'P 4/m m m'
_space_group_IT_number 123
_space_group_name_Hall '-P 4 2'
loop_
_atom_site_label
_atom_site_type_symbol
_atom_site_fract_x
_atom_site_fract_y
_atom_site_fract_z
Y1 Y 0.0000 0.5000 0.0000
Cr1 Cr 0.0000 0.0000 0.5000
Pt1 Pt 0.5000 0.5000 0.5000
C1 C 0.0000 0.0000 0.0000